Compound: Cd2Hg3
Source: Alexandria via LeMat-Bulk
Functional: PBE
Structure: relaxed Values from VASP.

SG	P-4m2
DOS at the Fermi energy	1.80	states/eV/cell
total energy	-2.47	eV for the cell shown
polymorph energy (0 for the lowest one)	30	meV per atom
energy relative to the elements	0.053	eV/atom
M_tot	0.0	μB/cell

Geometry as Quantum ESPRESSO input:
```
&SYSTEM
  ibrav = 0, nat = 5, ntyp = 2
/
ATOMIC_SPECIES
Cd 112.41 Cd.upf
Hg 200.59 Hg.upf
ATOMIC_POSITIONS crystal
Cd 0.000 0.500 0.237
Cd 0.500 0.000 0.763
Hg 0.000 0.500 0.857
Hg 0.500 0.000 0.143
Hg 0.500 0.500 0.500
CELL_PARAMETERS angstrom
4.182 0.000 0.000
0.000 4.182 0.000
0.000 0.000 8.088
```